No. 1
# Al5TcNi4

A geometry-optimized Al5TcNi4 structure (PBE, the Alexandria database).

Lattice parameters (Å, degrees): 2.9424 2.9424 14.5030 90.00 90.00 90.00
With the nearest neighbours (Å) after each atom.
Atoms (fractional coordinates):
Ni 0.0000 0.0000 0.5978  8 Al 2.51-2.52
Ni 0.0000 0.0000 0.2083  8 Al 2.51-2.53, 1 Ni 2.81
Ni 0.0000 0.0000 0.7917  8 Al 2.51-2.53, 1 Ni 2.81
Ni 0.0000 0.0000 0.4022  8 Al 2.51-2.52
Tc 0.0000 0.0000 0.0000  8 Al 2.62
Al 0.5000 0.5000 0.3055  8 Ni 2.51
Al 0.5000 0.5000 0.6945  8 Ni 2.51
Al 0.5000 0.5000 0.5000  8 Ni 2.52
Al 0.5000 0.5000 0.1096  4 Ni 2.53, 4 Tc 2.62
Al 0.5000 0.5000 0.8904  4 Ni 2.53, 4 Tc 2.62

SG = No. 123

***

No. 2
# Al2TcNi2

A geometry-optimized Al2TcNi2 structure (PBE, the Alexandria database).

Lattice parameters (Å, degrees): 6.9627 6.9627 2.6275 90.00 90.00 90.00
With the nearest neighbours (Å) after each atom.
Atoms (fractional coordinates):
Tc 0.0000 0.0000 0.0000  2 Tc 2.63, 4 Al 2.67
Tc 0.5000 0.5000 0.0000  2 Tc 2.63, 4 Al 2.67
Al 0.6445 0.1445 0.0000  6 Ni 2.39-2.45, 2 Al 2.63, 2 Tc 2.67
Al 0.3555 0.8555 0.0000  6 Ni 2.39-2.45, 2 Al 2.63, 2 Tc 2.67
Al 0.8555 0.6445 0.0000  6 Ni 2.39-2.45, 2 Al 2.63, 2 Tc 2.67
Al 0.1445 0.3555 0.0000  6 Ni 2.39-2.45, 2 Al 2.63, 2 Tc 2.67
Ni 0.1526 0.6526 0.5000  6 Al 2.39-2.45, 2 Ni 2.63
Ni 0.8474 0.3474 0.5000  6 Al 2.39-2.45, 2 Ni 2.63
Ni 0.6526 0.8474 0.5000  6 Al 2.39-2.45, 2 Ni 2.63
Ni 0.3474 0.1526 0.5000  6 Al 2.39-2.45, 2 Ni 2.63

Polymorph energy (0 for the lowest one) = 0 meV per atom
SG = No. 127

***

No. 3
# AlTcNi

A geometry-optimized AlTcNi structure (PBE, the Alexandria database).

Lattice parameters (Å, degrees): 4.0970 4.0970 4.0970 60.00 60.00 60.00
With the nearest neighbours (Å) after each atom.
Atoms (fractional coordinates):
Al 0.0000 0.0000 0.0000  4 Tc 2.51
Tc 0.7500 0.7500 0.7500  4 Ni 2.51, 4 Al 2.51
Ni 0.5000 0.5000 0.5000  4 Tc 2.51

Polymorph energy (0 for the lowest one) = 653 meV per atom
SG = No. 216

***

No. 4
# AlTcNi

A geometry-optimized AlTcNi structure (PBE, the Alexandria database).

Lattice parameters (Å, degrees): 4.1598 4.1598 2.6649 90.00 90.00 120.00
With the nearest neighbours (Å) after each atom.
Atoms (fractional coordinates):
Ni 0.6667 0.3333 0.1703  3 Al 2.40, 2 Ni 2.66
Tc 0.3333 0.6667 0.6664  2 Tc 2.66, 6 Ni 2.74-2.75, 6 Al 2.74-2.75
Al 0.0000 0.0000 0.1634  3 Ni 2.40, 2 Al 2.66

Polymorph energy (0 for the lowest one) = 103 meV per atom
SG = No. 156

***

No. 5
# Al4TcNi2

A geometry-optimized Al4TcNi2 structure (PBE, the Alexandria database).

Lattice parameters (Å, degrees): 5.0789 5.0789 5.0789 105.90 111.28 111.28
With the nearest neighbours (Å) after each atom.
Atoms (fractional coordinates):
Al 0.0000 0.5000 0.0000  4 Ni 2.54, 2 Tc 2.54
Al 0.0000 0.0000 0.5000  4 Ni 2.54, 2 Tc 2.54
Al 0.5000 0.0000 0.0000  4 Ni 2.54, 2 Tc 2.54
Al 0.5000 0.5000 0.5000  2 Tc 2.54, 4 Ni 2.54
Tc 0.0000 0.0000 0.0000  8 Al 2.54
Ni 0.5000 0.5000 0.0000  8 Al 2.54
Ni 0.5000 0.0000 0.5000  8 Al 2.54

SG = No. 139

***

No. 6
# TiAlTc2Ni

A geometry-optimized TiAlTc2Ni structure (PBE, the Alexandria database).

Lattice parameters (Å, degrees): 4.4880 4.2987 4.4880 90.00 90.00 90.00
With the nearest neighbours (Å) after each atom.
Atoms (fractional coordinates):
Tc 0.5000 0.0000 0.0000  2 Ni 2.24
Tc 0.0000 0.0000 0.5000  2 Ni 2.24
Ti 0.0000 0.5000 0.0000  2 Ni 2.15
Al 0.5000 0.5000 0.5000  8 Tc 3.11, 4 Ti 3.17
Ni 0.0000 0.0000 0.0000  2 Ti 2.15, 4 Tc 2.24

SG = No. 123

***

No. 7
# TiAlTcNi2

A geometry-optimized TiAlTcNi2 structure (PBE, the Alexandria database).

Lattice parameters (Å, degrees): 4.1892 4.7275 4.1892 90.00 90.00 90.00
With the nearest neighbours (Å) after each atom.
Atoms (fractional coordinates):
Ti 0.0000 0.0000 0.0000  4 Ni 2.09
Tc 0.5000 0.5000 0.5000  4 Al 2.96, 8 Ni 3.16
Ni 0.5000 0.0000 0.0000  2 Ti 2.09
Ni 0.0000 0.0000 0.5000  2 Ti 2.09
Al 0.0000 0.5000 0.0000  2 Ti 2.36

SG = No. 123

***

No. 8
# YAlTcNi2

A geometry-optimized YAlTcNi2 structure (PBE, the Alexandria database).

Lattice parameters (Å, degrees): 4.2440 5.2239 4.2440 90.00 90.00 90.00
With the nearest neighbours (Å) after each atom.
Atoms (fractional coordinates):
Al 0.0000 0.0000 0.0000  4 Ni 2.12
Y 0.0000 0.5000 0.0000  2 Al 2.61
Ni 0.5000 0.0000 0.0000  2 Al 2.12
Ni 0.0000 0.0000 0.5000  2 Al 2.12
Tc 0.5000 0.5000 0.5000  4 Y 3.00

SG = No. 123

***

No. 9
# Al2NiTe

A geometry-optimized Al2NiTe structure (PBE, the Alexandria database).

Lattice parameters (Å, degrees): 3.5182 4.1847 5.4829 64.84 90.00 90.00
With the nearest neighbours (Å) after each atom.
Atoms (fractional coordinates):
Te 0.0000 0.0000 0.5000  4 Ni 2.73, 2 Al 2.74
Al 0.5000 0.5000 0.0000  4 Al 2.73, 2 Ni 2.74
Al 0.0000 0.0000 0.0000  4 Al 2.73, 2 Te 2.74
Ni 0.5000 0.5000 0.5000  4 Te 2.73, 2 Al 2.74

SG = No. 10
Raw formation energy = 0.14 eV per atom

***

No. 10
# Al2NiTe

A geometry-optimized Al2NiTe structure (PBE, the Alexandria database).

Lattice parameters (Å, degrees): 4.4665 4.4665 3.6199 90.00 90.00 90.00
With the nearest neighbours (Å) after each atom.
Atoms (fractional coordinates):
Al 0.5000 0.5000 0.0000  4 Te 2.87, 4 Ni 2.87, 4 Al 3.16
Al 0.0000 0.0000 0.0000  4 Ni 2.87, 4 Te 2.87, 4 Al 3.16
Te 0.0000 0.5000 0.5000  8 Al 2.87, 4 Ni 3.16
Ni 0.5000 0.0000 0.5000  8 Al 2.87, 4 Te 3.16

SG = No. 123
Raw formation energy = 0.26 eV per atom

***

No. 11
# Al3NiTe

A geometry-optimized Al3NiTe structure (PBE, the Alexandria database).

Lattice parameters (Å, degrees): 4.6364 4.6364 4.6364 90.00 90.00 90.00
With the nearest neighbours (Å) after each atom.
Atoms (fractional coordinates):
Ni 0.0000 0.0000 0.0000  6 Al 2.32
Al 0.5000 0.0000 0.0000  2 Ni 2.32
Al 0.0000 0.5000 0.0000  2 Ni 2.32
Al 0.0000 0.0000 0.5000  2 Ni 2.32
Te 0.5000 0.5000 0.5000  12 Al 3.28

Polymorph energy (0 for the lowest one) = 0 meV per atom
SG = No. 221
Raw formation energy = -0.10 eV per atom

***

No. 12
# Al3NiTe

A geometry-optimized Al3NiTe structure (PBE, the Alexandria database).

Lattice parameters (Å, degrees): 5.2602 5.2602 5.2602 90.00 90.00 90.00
With the nearest neighbours (Å) after each atom.
Atoms (fractional coordinates):
Al 0.0000 0.0000 0.5000  2 Te 2.63
Al 0.0000 0.5000 0.0000  2 Te 2.63
Al 0.5000 0.0000 0.0000  2 Te 2.63
Ni 0.5000 0.5000 0.5000  12 Al 3.72
Te 0.0000 0.0000 0.0000  6 Al 2.63

Polymorph energy (0 for the lowest one) = 1465 meV per atom
SG = No. 221
Raw formation energy = 1.36 eV per atom

***

no.,size of the total moment (μB/cell),E (eV/cell)
1,0.00,-58.0
2,0.00,-62.5
3,2.01,-18.7
4,1.20,-20.4
5,0.00,-40.6
6,1.31,-34.1
7,2.36,-27.8
8,1.12,-27.6
9,0.00,-15.9
10,0.00,-15.3
11,0.00,-20.7
12,0.25,-13.3